1.
First-principles (PBE) data for an optimized crystal structure of Nb2AgRu2, as listed in Alexandria.

Output
- E_tot (eV/atom) = -8.33
- density of states at the Fermi level (states/eV/atom) = 0.673
- energy of formation from the pure elements (meV per atom) = -21
- magnetic moment (μB/f.u.) = 0.00
- space group = P4/mbm
- E above lowest polymorph (meV per atom) = 0.0
- volume (A^3/atom) = 17.04

Lattice parameters (Å, degrees): 7.500 7.500 3.030 90.00 90.00 90.00
Element x y z (fractional)
Nb  0.342  0.158  0.500
Ru  0.639  0.139  0.000
Nb  0.658  0.842  0.500
Ag  0.000  0.000  0.000
Nb  0.158  0.658  0.500
Nb  0.842  0.342  0.500
Ru  0.361  0.861  0.000
Ru  0.861  0.639  0.000
Ru  0.139  0.361  0.000
Ag  0.500  0.500  0.000

---

2.
First-principles (PBE) data for an optimized crystal structure of Ca2Mg2As3, as listed in Alexandria.

Output
- E_tot (eV/atom) = -3.97
- energy of formation from the pure elements (meV per atom) = -952
- magnetic moment (μB/f.u.) = 0.00
- space group = C2/m
- volume (A^3/atom) = 24.09

Lattice parameters (Å, degrees): 4.362 8.232 10.017 81.87 77.42 74.64
Element x y z (fractional)
As  0.627  0.219  0.526
Ca  0.269  0.134  0.329
As  0.373  0.781  0.474
Ca  0.731  0.866  0.671
Ca  0.384  0.266  0.966
As  0.084  0.953  0.879
Mg  0.413  0.516  0.659
As  0.916  0.047  0.121
Mg  0.587  0.484  0.341
As  0.844  0.497  0.814
As  0.156  0.503  0.186
Mg  0.952  0.779  0.317
Ca  0.616  0.734  0.034
Mg  0.048  0.221  0.683

---

3.
First-principles (PBE) data for an optimized crystal structure of KCaNb, as listed in Alexandria.

Output
- E_tot (eV/atom) = -3.31
- density of states at the Fermi level (states/eV/atom) = 1.209
- energy of formation from the pure elements (meV per atom) = 1075
- magnetic moment (μB/f.u.) = 0.54
- space group = Pnma
- E above lowest polymorph (meV per atom) = 794.2
- volume (A^3/atom) = 38.43

Lattice parameters (Å, degrees): 14.207 5.645 5.750 90.00 90.00 90.00
Last column: magnetic moment on the atom in μB.
Element x y z (fractional)
Nb  0.512  0.750  0.000  0.37
Ca  0.000  0.500  0.000  0.01
Nb  0.988  0.250  0.500  0.37
K  0.265  0.750  0.999  0.01
K  0.235  0.250  0.499  0.01
Ca  0.500  0.000  0.500  0.01
K  0.765  0.750  0.501  0.01
K  0.735  0.250  0.001  0.01
Nb  0.488  0.250  0.000  0.37
Ca  0.500  0.500  0.500  0.00
Nb  0.012  0.750  0.500  0.37
Ca  0.000  0.000  0.000  0.01

---

4.
First-principles (PBE) data for an optimized crystal structure of CsAuI2O, as listed in Alexandria.

Output
- E_tot (eV/atom) = -2.83
- density of states at the Fermi level (states/eV/atom) = 0.580
- magnetic moment (μB/f.u.) = 0.88
- space group = P4/mmm
- formation energy from raw total energies (eV/atom) = -0.3939
- E above lowest polymorph (meV per atom) = 0.0
- volume (A^3/atom) = 31.77

Lattice parameters (Å, degrees): 6.205 6.205 4.126 90.00 90.00 90.00
Last column: magnetic moment on the atom in μB.
Element x y z (fractional)
Au  0.000  0.000  0.000  0.21
O  0.000  0.000  0.500  0.51
I  0.500  0.000  0.000  0.02
Cs  0.500  0.500  0.500  0.00
I  0.000  0.500  0.000  0.02

---

5.
First-principles (PBE) data for an optimized crystal structure of DyBeGa, as listed in Alexandria.

Output
- E_tot (eV/atom) = -4.07
- density of states at the Fermi level (states/eV/atom) = 0.533
- energy of formation from the pure elements (meV per atom) = -287
- magnetic moment (μB/f.u.) = 0.00
- space group = F-43m
- E above lowest polymorph (meV per atom) = 128.0
- volume (A^3/atom) = 18.91

Lattice parameters (Å, degrees): 4.313 4.313 4.313 60.00 60.00 60.00
Element x y z (fractional)
Be  0.250  0.250  0.250
Ga  0.000  0.000  0.000
Dy  0.500  0.500  0.500

---

6.
First-principles (PBE) data for an optimized crystal structure of LiPr2Pd, as listed in Alexandria.

Output
- E_tot (eV/atom) = -4.36
- density of states at the Fermi level (states/eV/atom) = 1.034
- energy of formation from the pure elements (meV per atom) = -193
- magnetic moment (μB/f.u.) = 0.00
- space group = R3m
- volume (A^3/atom) = 31.31

Lattice parameters (Å, degrees): 4.257 4.257 8.349 75.23 75.23 60.00
Element x y z (fractional)
Pd  0.665  0.665  0.004
Pr  0.267  0.267  0.199
Li  0.502  0.502  0.494
Pr  0.066  0.066  0.803

---

7.
First-principles (PBE) data for an optimized crystal structure of TbPmHoTm, as listed in Alexandria.

Output
- E_tot (eV/atom) = -4.48
- density of states at the Fermi level (states/eV/atom) = 1.945
- energy of formation from the pure elements (meV per atom) = 123
- magnetic moment (μB/f.u.) = 0.00
- space group = F-43m
- E above lowest polymorph (meV per atom) = 0.0
- volume (A^3/atom) = 32.19

Lattice parameters (Å, degrees): 5.668 5.668 5.668 60.00 60.00 60.00
Element x y z (fractional)
Tm  0.250  0.250  0.250
Ho  0.750  0.750  0.750
Pm  0.500  0.500  0.500
Tb  0.000  0.000  0.000

---

8.
First-principles (PBE) data for an optimized crystal structure of RbBa2MgRe, as listed in Alexandria.

Output
- E_tot (eV/atom) = -2.79
- density of states at the Fermi level (states/eV/atom) = 1.570
- energy of formation from the pure elements (meV per atom) = 980
- magnetic moment (μB/f.u.) = 0.00
- space group = P4/mmm
- volume (A^3/atom) = 46.26

Lattice parameters (Å, degrees): 5.902 6.640 5.902 90.00 90.00 90.00
Element x y z (fractional)
Re  0.000  0.000  0.000
Ba  0.500  0.000  0.000
Mg  0.500  0.500  0.500
Rb  0.000  0.500  0.000
Ba  0.000  0.000  0.500

---

9.
First-principles (PBE) data for an optimized crystal structure of Ce2HoRh, as listed in Alexandria.

Output
- E_tot (eV/atom) = -6.00
- density of states at the Fermi level (states/eV/atom) = 2.358
- energy of formation from the pure elements (meV per atom) = -49
- magnetic moment (μB/f.u.) = 0.71
- space group = R-3m
- E above lowest polymorph (meV per atom) = 221.2
- volume (A^3/atom) = 24.49

Lattice parameters (Å, degrees): 4.888 4.888 5.512 63.68 63.68 60.00
Last column: magnetic moment on the atom in μB.
Element x y z (fractional)
Ce  0.259  0.259  0.223  0.24
Rh  0.000  0.000  0.000  -0.01
Ce  0.741  0.741  0.777  0.24
Ho  0.500  0.500  0.500  0.13

---

10.
First-principles (PBE) data for an optimized crystal structure of AcHI, as listed in Alexandria.

Output
- E_tot (eV/atom) = -3.89
- density of states at the Fermi level (states/eV/atom) = 0.473
- magnetic moment (μB/f.u.) = 0.00
- space group = P2_1/m
- E above lowest polymorph (meV per atom) = 133.3
- volume (A^3/atom) = 30.93

Lattice parameters (Å, degrees): 4.285 12.586 10.591 139.48 90.00 90.00
Element x y z (fractional)
H  0.250  0.519  0.957
I  0.750  0.149  0.985
H  0.750  0.981  0.543
Ac  0.750  0.575  0.915
H  0.250  0.019  0.457
I  0.750  0.649  0.485
Ac  0.750  0.075  0.415
Ac  0.250  0.925  0.585
I  0.250  0.851  0.015
H  0.750  0.481  0.043
I  0.250  0.351  0.515
Ac  0.250  0.425  0.085

---

11.
First-principles (PBE) data for an optimized crystal structure of NdDy2Y4Sc, as listed in Alexandria.

Output
- E_tot (eV/atom) = -5.73
- density of states at the Fermi level (states/eV/atom) = 1.540
- energy of formation from the pure elements (meV per atom) = 38
- magnetic moment (μB/f.u.) = 0.00
- space group = P2/m
- volume (A^3/atom) = 31.40

Lattice parameters (Å, degrees): 3.552 6.121 11.734 79.89 90.00 90.00
Element x y z (fractional)
Sc  0.500  0.500  0.000
Y  0.000  0.746  0.757
Y  0.500  0.751  0.246
Y  0.000  0.254  0.243
Dy  0.500  0.000  0.500
Y  0.500  0.249  0.754
Nd  0.000  0.500  0.500
Dy  0.000  0.000  0.000

---

12.
First-principles (PBE) data for an optimized crystal structure of RbNpAg2O6, as listed in Alexandria.

Output
- E_tot (eV/atom) = -6.27
- density of states at the Fermi level (states/eV/atom) = 0.709
- magnetic moment (μB/f.u.) = 0.00
- space group = R-3
- formation energy from raw total energies (eV/atom) = -1.3319
- volume (A^3/atom) = 18.50

Lattice parameters (Å, degrees): 6.034 6.034 6.823 90.01 116.26 119.98
Element x y z (fractional)
Ag  0.457  0.728  0.171
O  0.383  0.034  0.183
O  0.610  0.962  0.778
Ag  0.536  0.268  0.790
O  0.848  0.813  0.182
O  0.145  0.182  0.778
Rb  0.997  0.498  0.480
Np  0.997  0.998  0.980
O  0.163  0.349  0.183
O  0.830  0.647  0.778

---

Which of these has the highest volume? RbBa2MgRe

---

magnetic moment of number 10 (AcHI)? 0.00 μB/f.u.

---

Among the records above, which one has the lowest volume? Nb2AgRu2

---

Which formula does entry 2 have? Ca2Mg2As3